# 1
# Li4TlAg PBE optimized geometry
data_Li4TlAg
_symmetry_space_group_name_H-M 'F -4 3 m'
_symmetry_Int_Tables_number 216
_symmetry_space_group_name_Hall 'F -4 2 3'
_cell_length_a 7.4466
_cell_length_b 7.4466
_cell_length_c 7.4466
_cell_angle_alpha 90.00
_cell_angle_beta 90.00
_cell_angle_gamma 90.00
loop_
_atom_site_label
_atom_site_type_symbol
_atom_site_fract_x
_atom_site_fract_y
_atom_site_fract_z
Li1 Li 0.1253 0.1253 0.1253
Tl1 Tl 0.2500 0.2500 0.7500
Ag1 Ag 0.0000 0.0000 0.5000
# E above lowest polymorph = 0.110 eV per atom
# raw total energy = -2.20 eV per atom
# spin magnetization = 2.81 Bohr magnetons per cell
# crystal system = cubic
# energy relative to the elements = -0.058 eV/atom


# 2
# Pm2PrHo6Er PBE optimized geometry
data_Pm2PrHo6Er
_symmetry_space_group_name_H-M 'C 1 2/c 1'
_symmetry_Int_Tables_number 15
_cell_length_a 9.0504
_cell_length_b 15.0391
_cell_length_c 9.6548
_cell_angle_alpha 90.00
_cell_angle_beta 98.26
_cell_angle_gamma 90.00
loop_
_symmetry_equiv_pos_as_xyz
'x,y,z'
'-x,-y,-z'
'-x,y,-z+1/2'
'x,-y,z+1/2'
'x+1/2,y+1/2,z'
'-x+1/2,-y+1/2,-z'
'-x+1/2,y+1/2,-z+1/2'
'x+1/2,-y+1/2,z+1/2'
loop_
_atom_site_label
_atom_site_type_symbol
_atom_site_fract_x
_atom_site_fract_y
_atom_site_fract_z
Pm1 Pm 0.2478 0.0514 0.0441
Pr1 Pr 0.0000 0.0199 0.7500
Ho1 Ho 0.0673 0.1908 0.4425
Ho2 Ho 0.0985 0.3929 0.6187
Ho3 Ho 0.2054 0.2246 0.8148
Er1 Er 0.0000 0.4080 0.2500
# raw total energy = -4.51 eV per atom
# spin magnetization = 0.00 Bohr magnetons per cell
# crystal system = monoclinic
# energy relative to the elements = 0.117 eV/atom


# 3
# K2ICl PBE optimized geometry
data_K2ICl
_symmetry_space_group_name_H-M 'R -3 m'
_symmetry_Int_Tables_number 166
_symmetry_space_group_name_Hall '-R 3 2"'
_cell_length_a 4.7646
_cell_length_b 4.7646
_cell_length_c 23.7038
_cell_angle_alpha 90.00
_cell_angle_beta 90.00
_cell_angle_gamma 120.00
loop_
_atom_site_label
_atom_site_type_symbol
_atom_site_fract_x
_atom_site_fract_y
_atom_site_fract_z
K1 K 0.0000 0.0000 0.2406
I1 I 0.0000 0.0000 0.0000
Cl1 Cl 0.0000 0.0000 0.5000
# ΔE_f (raw) = -1.70 eV per atom
# raw total energy = -3.10 eV per atom
# spin magnetization = 0.00 Bohr magnetons per cell
# crystal system = trigonal


# 4
# Al3ZnPd PBE optimized geometry
data_Al3ZnPd
_symmetry_space_group_name_H-M 'P 1 21/c 1'
_symmetry_Int_Tables_number 14
_cell_length_a 6.1880
_cell_length_b 7.1188
_cell_length_c 8.6706
_cell_angle_alpha 90.00
_cell_angle_beta 124.11
_cell_angle_gamma 90.00
loop_
_symmetry_equiv_pos_as_xyz
'x,y,z'
'-x,-y,-z'
'-x,y+1/2,-z+1/2'
'x,-y+1/2,z+1/2'
loop_
_atom_site_label
_atom_site_type_symbol
_atom_site_fract_x
_atom_site_fract_y
_atom_site_fract_z
Al1 Al 0.0491 0.1113 0.2817
Al2 Al 0.2241 0.6633 0.0651
Al3 Al 0.2274 0.0902 0.0591
Zn1 Zn 0.4425 0.6434 0.8858
Pd1 Pd 0.3410 0.1118 0.8063
# E above lowest polymorph = 0.030 eV per atom
# raw total energy = -3.83 eV per atom
# spin magnetization = 0.00 Bohr magnetons per cell
# crystal system = monoclinic
# energy relative to the elements = -0.293 eV/atom


# 5
# Mg3BiN PBE optimized geometry
data_Mg3BiN
_symmetry_space_group_name_H-M 'P 1 21/m 1'
_symmetry_Int_Tables_number 11
_cell_length_a 4.4043
_cell_length_b 6.4491
_cell_length_c 7.4402
_cell_angle_alpha 90.00
_cell_angle_beta 106.62
_cell_angle_gamma 90.00
loop_
_symmetry_equiv_pos_as_xyz
'x,y,z'
'-x,-y,-z'
'-x,y+1/2,-z'
'x,-y+1/2,z'
loop_
_atom_site_label
_atom_site_type_symbol
_atom_site_fract_x
_atom_site_fract_y
_atom_site_fract_z
Mg1 Mg 0.0134 0.2500 0.0283
Mg2 Mg 0.4030 0.0188 0.7976
Bi1 Bi 0.1909 0.7500 0.4004
N1 N 0.4821 0.7500 0.9623
# ΔE_f (raw) = -0.36 eV per atom
# raw total energy = -3.76 eV per atom
# spin magnetization = 0.00 Bohr magnetons per cell
# crystal system = monoclinic


# 6
# TbPmTm5 PBE optimized geometry
data_TbPmTm5
_symmetry_space_group_name_H-M 'C 1 2/c 1'
_symmetry_Int_Tables_number 15
_cell_length_a 11.5226
_cell_length_b 6.7560
_cell_length_c 12.0008
_cell_angle_alpha 90.00
_cell_angle_beta 109.26
_cell_angle_gamma 90.00
loop_
_symmetry_equiv_pos_as_xyz
'x,y,z'
'-x,-y,-z'
'-x,y,-z+1/2'
'x,-y,z+1/2'
'x+1/2,y+1/2,z'
'-x+1/2,-y+1/2,-z'
'-x+1/2,y+1/2,-z+1/2'
'x+1/2,-y+1/2,z+1/2'
loop_
_atom_site_label
_atom_site_type_symbol
_atom_site_fract_x
_atom_site_fract_y
_atom_site_fract_z
Tb1 Tb 0.2500 0.2500 0.0000
Pm1 Pm 0.0000 0.0250 0.2500
Tm1 Tm 0.0000 0.4116 0.7500
Tm2 Tm 0.0781 0.2771 0.4987
Tm3 Tm 0.2207 0.3590 0.2512
# E above lowest polymorph = 0.000 eV per atom
# raw total energy = -4.33 eV per atom
# spin magnetization = 0.00 Bohr magnetons per cell
# crystal system = monoclinic
# energy relative to the elements = 0.202 eV/atom


# 7
# EuScTlCu PBE optimized geometry
data_EuScTlCu
_symmetry_space_group_name_H-M 'F -4 3 m'
_symmetry_Int_Tables_number 216
_symmetry_space_group_name_Hall 'F -4 2 3'
_cell_length_a 7.2851
_cell_length_b 7.2851
_cell_length_c 7.2851
_cell_angle_alpha 90.00
_cell_angle_beta 90.00
_cell_angle_gamma 90.00
loop_
_atom_site_label
_atom_site_type_symbol
_atom_site_fract_x
_atom_site_fract_y
_atom_site_fract_z
Eu1 Eu 0.0000 0.0000 0.0000
Sc1 Sc 0.0000 0.0000 0.5000
Tl1 Tl 0.2500 0.2500 0.7500
Cu1 Cu 0.2500 0.2500 0.2500
# raw total energy = -5.90 eV per atom
# spin magnetization = 27.33 Bohr magnetons per cell
# crystal system = cubic
# energy relative to the elements = -0.131 eV/atom


# 8
# Th8Te4P3C PBE optimized geometry
data_Th8Te4P3C
_symmetry_space_group_name_H-M 'R -3 m'
_symmetry_Int_Tables_number 166
_symmetry_space_group_name_Hall '-R 3 2"'
_cell_length_a 8.2729
_cell_length_b 8.2729
_cell_length_c 22.2840
_cell_angle_alpha 90.00
_cell_angle_beta 90.00
_cell_angle_gamma 120.00
loop_
_atom_site_label
_atom_site_type_symbol
_atom_site_fract_x
_atom_site_fract_y
_atom_site_fract_z
Th1 Th 0.0000 0.0000 0.2362
Th2 Th 0.0192 0.5096 0.2329
Te1 Te 0.0000 0.0000 0.0000
Te2 Te 0.0000 0.5000 0.0000
P1 P 0.0000 0.5000 0.5000
C1 C 0.0000 0.0000 0.5000
# ΔE_f (raw) = -1.21 eV per atom
# raw total energy = -7.30 eV per atom
# spin magnetization = 0.00 Bohr magnetons per cell
# crystal system = trigonal


# 9
# DyY2HoS6 PBE optimized geometry
data_DyY2HoS6
_symmetry_space_group_name_H-M 'R 3'
_symmetry_Int_Tables_number 146
_symmetry_space_group_name_Hall 'R 3'
_cell_length_a 6.9072
_cell_length_b 6.9072
_cell_length_c 18.5132
_cell_angle_alpha 90.00
_cell_angle_beta 90.00
_cell_angle_gamma 120.00
loop_
_atom_site_label
_atom_site_type_symbol
_atom_site_fract_x
_atom_site_fract_y
_atom_site_fract_z
Dy1 Dy 0.0000 0.0000 0.0000
Y1 Y 0.0000 0.0000 0.2987
Y2 Y 0.0000 0.0000 0.7991
Ho1 Ho 0.0000 0.0000 0.4994
S1 S 0.0335 0.3638 0.5664
S2 S 0.0338 0.6678 0.0665
# ΔE_f (raw) = -2.06 eV per atom
# raw total energy = -6.75 eV per atom
# spin magnetization = 0.00 Bohr magnetons per cell
# crystal system = trigonal


# 10
# YPSO2 PBE optimized geometry
data_YPSO2
_symmetry_space_group_name_H-M 'P 4/m m m'
_symmetry_Int_Tables_number 123
_symmetry_space_group_name_Hall '-P 4 2'
_cell_length_a 4.1257
_cell_length_b 4.1257
_cell_length_c 6.5967
_cell_angle_alpha 90.00
_cell_angle_beta 90.00
_cell_angle_gamma 90.00
loop_
_atom_site_label
_atom_site_type_symbol
_atom_site_fract_x
_atom_site_fract_y
_atom_site_fract_z
Y1 Y 0.0000 0.0000 0.0000
P1 P 0.0000 0.0000 0.5000
S1 S 0.5000 0.5000 0.5000
O1 O 0.0000 0.5000 0.0000
# ΔE_f (raw) = -0.48 eV per atom
# raw total energy = -5.66 eV per atom
# spin magnetization = 1.54 Bohr magnetons per cell
# crystal system = tetragonal


# 11
# AcPm6Er PBE optimized geometry
data_AcPm6Er
_symmetry_space_group_name_H-M 'P 4/m m m'
_symmetry_Int_Tables_number 123
_symmetry_space_group_name_Hall '-P 4 2'
_cell_length_a 5.1963
_cell_length_b 5.1963
_cell_length_c 10.3775
_cell_angle_alpha 90.00
_cell_angle_beta 90.00
_cell_angle_gamma 90.00
loop_
_atom_site_label
_atom_site_type_symbol
_atom_site_fract_x
_atom_site_fract_y
_atom_site_fract_z
Ac1 Ac 0.0000 0.0000 0.0000
Pm1 Pm 0.0000 0.5000 0.2584
Pm2 Pm 0.5000 0.5000 0.0000
Pm3 Pm 0.5000 0.5000 0.5000
Er1 Er 0.0000 0.0000 0.5000
# E above lowest polymorph = 0.000 eV per atom
# raw total energy = -4.62 eV per atom
# spin magnetization = 0.00 Bohr magnetons per cell
# crystal system = tetragonal
# energy relative to the elements = 0.031 eV/atom


# 12
# Nd4Sm7Y PBE optimized geometry
data_Nd4Sm7Y
_symmetry_space_group_name_H-M 'P -1'
_symmetry_Int_Tables_number 2
_cell_length_a 6.6095
_cell_length_b 6.9908
_cell_length_c 9.2352
_cell_angle_alpha 86.60
_cell_angle_beta 77.13
_cell_angle_gamma 83.05
loop_
_symmetry_equiv_pos_as_xyz
'x,y,z'
'-x,-y,-z'
loop_
_atom_site_label
_atom_site_type_symbol
_atom_site_fract_x
_atom_site_fract_y
_atom_site_fract_z
Nd1 Nd 0.1440 0.3012 0.2832
Nd2 Nd 0.3401 0.8952 0.6877
Sm1 Sm 0.0114 0.2508 0.9498
Sm2 Sm 0.1870 0.7996 0.3573
Sm3 Sm 0.3060 0.4020 0.6175
Sm4 Sm 0.5000 0.0000 0.0000
Y1 Y 0.5000 0.5000 0.0000
# E above lowest polymorph = 0.000 eV per atom
# raw total energy = -4.80 eV per atom
# spin magnetization = 0.00 Bohr magnetons per cell
# crystal system = triclinic
# energy relative to the elements = 0.082 eV/atom


# 13
# Zr2Al5Pd2Ru PBE optimized geometry
data_Zr2Al5Pd2Ru
_symmetry_space_group_name_H-M 'P 4/m b m'
_symmetry_Int_Tables_number 127
_symmetry_space_group_name_Hall '-P 4 2ab'
_cell_length_a 10.4584
_cell_length_b 10.4584
_cell_length_c 3.0636
_cell_angle_alpha 90.00
_cell_angle_beta 90.00
_cell_angle_gamma 90.00
loop_
_atom_site_label
_atom_site_type_symbol
_atom_site_fract_x
_atom_site_fract_y
_atom_site_fract_z
Zr1 Zr 0.1773 0.3227 0.0000
Al1 Al 0.0000 0.5000 0.5000
Al2 Al 0.0454 0.8088 0.5000
Pd1 Pd 0.1336 0.6336 0.0000
Ru1 Ru 0.0000 0.0000 0.0000
# raw total energy = -6.15 eV per atom
# spin magnetization = 0.00 Bohr magnetons per cell
# crystal system = tetragonal
# energy relative to the elements = -0.605 eV/atom


# 14
# TiCr2Se4 PBE optimized geometry
data_TiCr2Se4
_symmetry_space_group_name_H-M 'C 1 m 1'
_symmetry_Int_Tables_number 8
_cell_length_a 13.3298
_cell_length_b 3.5923
_cell_length_c 6.3432
_cell_angle_alpha 90.00
_cell_angle_beta 116.49
_cell_angle_gamma 90.00
loop_
_symmetry_equiv_pos_as_xyz
'x,y,z'
'x,-y,z'
'x+1/2,y+1/2,z'
'x+1/2,-y+1/2,z'
loop_
_atom_site_label
_atom_site_type_symbol
_atom_site_fract_x
_atom_site_fract_y
_atom_site_fract_z
Ti1 Ti 0.0000 0.0000 0.0000
Cr1 Cr 0.2493 0.5000 0.7112
Cr2 Cr 0.4880 0.0000 0.4147
Se1 Se 0.1117 0.0000 0.7277
Se2 Se 0.1315 0.5000 0.2601
Se3 Se 0.3585 0.5000 0.1608
Se4 Se 0.3810 0.0000 0.6772
# E above lowest polymorph = 0.003 eV per atom
# ΔE_f (raw) = -0.72 eV per atom
# raw total energy = -6.59 eV per atom
# spin magnetization = 12.39 Bohr magnetons per cell
# crystal system = monoclinic


# 15
# Hf4C2N PBE optimized geometry
data_Hf4C2N
_symmetry_space_group_name_H-M 'I 4/m m m'
_symmetry_Int_Tables_number 139
_symmetry_space_group_name_Hall '-I 4 2'
_cell_length_a 4.4862
_cell_length_b 4.4862
_cell_length_c 10.4003
_cell_angle_alpha 90.00
_cell_angle_beta 90.00
_cell_angle_gamma 90.00
loop_
_atom_site_label
_atom_site_type_symbol
_atom_site_fract_x
_atom_site_fract_y
_atom_site_fract_z
Hf1 Hf 0.0000 0.0000 0.2341
Hf2 Hf 0.0000 0.5000 0.0000
C1 C 0.0000 0.0000 0.4333
N1 N 0.0000 0.0000 0.0000
# E above lowest polymorph = 0.408 eV per atom
# ΔE_f (raw) = -0.63 eV per atom
# raw total energy = -10.14 eV per atom
# spin magnetization = 0.00 Bohr magnetons per cell
# crystal system = tetragonal


# 16
# DyPdPtAu PBE optimized geometry
data_DyPdPtAu
_symmetry_space_group_name_H-M 'F -4 3 m'
_symmetry_Int_Tables_number 216
_symmetry_space_group_name_Hall 'F -4 2 3'
_cell_length_a 6.6884
_cell_length_b 6.6884
_cell_length_c 6.6884
_cell_angle_alpha 90.00
_cell_angle_beta 90.00
_cell_angle_gamma 90.00
loop_
_atom_site_label
_atom_site_type_symbol
_atom_site_fract_x
_atom_site_fract_y
_atom_site_fract_z
Dy1 Dy 0.0000 0.0000 0.0000
Pd1 Pd 0.2500 0.2500 0.2500
Pt1 Pt 0.2500 0.2500 0.7500
Au1 Au 0.0000 0.0000 0.5000
# E above lowest polymorph = 0.128 eV per atom
# raw total energy = -5.55 eV per atom
# spin magnetization = 0.00 Bohr magnetons per cell
# crystal system = cubic
# energy relative to the elements = -0.774 eV/atom


# 17
# Ac3PaSi7 PBE optimized geometry
data_Ac3PaSi7
_symmetry_space_group_name_H-M 'C m c m'
_symmetry_Int_Tables_number 63
_symmetry_space_group_name_Hall '-C 2c 2'
_cell_length_a 4.3997
_cell_length_b 19.7131
_cell_length_c 11.9895
_cell_angle_alpha 90.00
_cell_angle_beta 90.00
_cell_angle_gamma 90.00
loop_
_atom_site_label
_atom_site_type_symbol
_atom_site_fract_x
_atom_site_fract_y
_atom_site_fract_z
Ac1 Ac 0.0000 0.1062 0.0500
Ac2 Ac 0.0000 0.2458 0.7500
Pa1 Pa 0.0000 0.0500 0.7500
Si1 Si 0.0000 0.2690 0.0306
Si2 Si 0.0000 0.3660 0.1497
Si3 Si 0.0000 0.4302 0.7500
Si4 Si 0.0000 0.4868 0.0974
# ΔE_f (raw) = -0.52 eV per atom
# raw total energy = -5.95 eV per atom
# spin magnetization = 0.00 Bohr magnetons per cell
# crystal system = orthorhombic


# 18
# Ca3Ac4Rh4 PBE optimized geometry
data_Ca3Ac4Rh4
_symmetry_space_group_name_H-M 'I m m m'
_symmetry_Int_Tables_number 71
_symmetry_space_group_name_Hall '-I 2 2'
_cell_length_a 4.3456
_cell_length_b 9.6750
_cell_length_c 15.4003
_cell_angle_alpha 90.00
_cell_angle_beta 90.00
_cell_angle_gamma 90.00
loop_
_atom_site_label
_atom_site_type_symbol
_atom_site_fract_x
_atom_site_fract_y
_atom_site_fract_z
Ca1 Ca 0.0000 0.0000 0.0000
Ca2 Ca 0.0000 0.5000 0.1100
Ac1 Ac 0.0000 0.3002 0.3461
Rh1 Rh 0.0000 0.0000 0.2036
Rh2 Rh 0.0000 0.1438 0.5000
# raw total energy = -5.11 eV per atom
# spin magnetization = 0.00 Bohr magnetons per cell
# crystal system = orthorhombic
# energy relative to the elements = -0.400 eV/atom


# 19
# TaCr2Br PBE optimized geometry
data_TaCr2Br
_symmetry_space_group_name_H-M 'I m m m'
_symmetry_Int_Tables_number 71
_symmetry_space_group_name_Hall '-I 2 2'
_cell_length_a 3.0422
_cell_length_b 4.4310
_cell_length_c 8.8315
_cell_angle_alpha 90.00
_cell_angle_beta 90.00
_cell_angle_gamma 90.00
loop_
_atom_site_label
_atom_site_type_symbol
_atom_site_fract_x
_atom_site_fract_y
_atom_site_fract_z
Ta1 Ta 0.0000 0.0000 0.0000
Cr1 Cr 0.0000 0.5000 0.2450
Br1 Br 0.0000 0.0000 0.5000
# E above lowest polymorph = 0.535 eV per atom
# ΔE_f (raw) = 0.84 eV per atom
# raw total energy = -7.35 eV per atom
# spin magnetization = 0.01 Bohr magnetons per cell
# crystal system = orthorhombic


# 20
# Mn2AsCl PBE optimized geometry
data_Mn2AsCl
_symmetry_space_group_name_H-M 'I m m 2'
_symmetry_Int_Tables_number 44
_cell_length_a 3.3143
_cell_length_b 3.4496
_cell_length_c 13.4475
_cell_angle_alpha 90.00
_cell_angle_beta 90.00
_cell_angle_gamma 90.00
loop_
_symmetry_equiv_pos_as_xyz
'x,y,z'
'-x,-y,z'
'-x,y,z'
'x,-y,z'
'x+1/2,y+1/2,z+1/2'
'-x+1/2,-y+1/2,z+1/2'
'-x+1/2,y+1/2,z+1/2'
'x+1/2,-y+1/2,z+1/2'
loop_
_atom_site_label
_atom_site_type_symbol
_atom_site_fract_x
_atom_site_fract_y
_atom_site_fract_z
Mn1 Mn 0.0000 0.0000 0.0000
Mn2 Mn 0.0000 0.5000 0.3040
As1 As 0.0000 0.5000 0.8578
Cl1 Cl 0.0000 0.0000 0.5976
# E above lowest polymorph = 0.062 eV per atom
# ΔE_f (raw) = -0.14 eV per atom
# raw total energy = -6.34 eV per atom
# spin magnetization = 15.71 Bohr magnetons per cell
# crystal system = orthorhombic